# HfCdCu2 | OQMD via LeMat-Bulk | PBE-GGA | relaxed
# Formation energy from the elements   -0.107 eV/atom
# Spin magnetization   0.003 μB/f.u.
# Calculated total energy   -37.43 eV/cell
data_HfCdCu2
_symmetry_space_group_name_H-M 'P m m n'
_symmetry_Int_Tables_number 59
_cell_length_a 4.487
_cell_length_b 6.330
_cell_length_c 4.486
_cell_angle_alpha 90.00
_cell_angle_beta 90.00
_cell_angle_gamma 90.00
loop_
_symmetry_equiv_pos_as_xyz
'x,y,z'
'-x,-y,-z'
'-x+1/2,-y+1/2,z'
'x+1/2,y+1/2,-z'
'x+1/2,-y,-z'
'-x+1/2,y,z'
'-x,y+1/2,-z'
'x,-y+1/2,z'
loop_
_atom_site_label
_atom_site_fract_x
_atom_site_fract_y
_atom_site_fract_z
_atom_site_occupancy
Hf1 0.250 0.250 0.249 1
Cd1 0.250 0.750 0.249 1
Cu1 0.250 0.000 0.748 1